This record from the Alexandria database describes a geometry-optimized Pr8YCd2 structure. The functional is PBE-GGA.

```
Pr8YCd2
1.0
7.0951 -5.6040 0.0000
7.0951 5.6040 0.0000
-0.9880 0.0000 5.1870
Pr Y Cd
8 1 2
Direct
0.0846 0.0846 0.2916 Pr
0.1338 0.6569 0.2191 Pr
0.2596 0.2596 0.8722 Pr
0.3431 0.8662 0.7809 Pr
0.6569 0.1338 0.2191 Pr
0.7404 0.7404 0.1278 Pr
0.8662 0.3431 0.7809 Pr
0.9154 0.9154 0.7084 Pr
0.5000 0.5000 0.0000 Y
0.3837 0.3837 0.4509 Cd
0.6163 0.6163 0.5491 Cd
```

## Properties
total energy = -43.731 eV per formula unit

This record from the Alexandria database describes a geometry-optimized Pr2Y6Cd structure. The functional is PBE-GGA.

```
Pr2Y6Cd
1.0
8.8439 -4.7846 0.0000
8.8439 4.7846 0.0000
-0.0038 0.0000 3.5435
Pr Y Cd
2 6 1
Direct
0.1810 0.1810 0.4988 Pr
0.8190 0.8190 0.5012 Pr
0.1631 0.5151 0.9998 Y
0.2057 0.7943 0.5000 Y
0.4849 0.8369 0.0002 Y
0.5151 0.1631 0.9998 Y
0.7943 0.2057 0.5000 Y
0.8369 0.4849 0.0002 Y
0.5000 0.5000 0.0000 Cd
```

## Properties
total energy = -48.573 eV per formula unit

This record from the Alexandria database describes a geometry-optimized PrY5Cd4 structure. The functional is PBE-GGA.

```
PrY5Cd4
1.0
3.7247 0.0000 0.0000
0.0000 3.7247 0.0000
0.0000 0.0000 20.2172
Pr Y Cd
1 5 4
Direct
0.0000 0.0000 0.0000 Pr
0.5000 0.5000 0.1251 Y
0.5000 0.5000 0.3130 Y
0.5000 0.5000 0.5000 Y
0.5000 0.5000 0.6870 Y
0.5000 0.5000 0.8749 Y
0.0000 0.0000 0.2185 Cd
0.0000 0.0000 0.4055 Cd
0.0000 0.0000 0.5945 Cd
0.0000 0.0000 0.7815 Cd
```

## Properties
total energy = -43.524 eV per formula unit

This record from the Alexandria database describes a geometry-optimized PrYCd4 structure. The functional is PBE-GGA.

```
PrYCd4
1.0
3.4846 0.0000 0.0000
0.0000 8.7239 0.0000
-0.0086 0.0000 5.0331
Pr Y Cd
1 1 4
Direct
0.0000 0.0000 0.0000 Pr
0.0000 0.5000 0.5000 Y
0.5000 0.1716 0.5000 Cd
0.5000 0.3375 0.0000 Cd
0.5000 0.6625 0.0000 Cd
0.5000 0.8284 0.5000 Cd
```

## Properties
energy above the lowest structure with this stoichiometry = 0 meV per atom

This record from the Alexandria database describes a geometry-optimized Pr6Y2Cd structure. The functional is PBE-GGA.

```
Pr6Y2Cd
1.0
10.8980 0.0000 0.0000
0.0000 10.8980 0.0000
0.0000 0.0000 5.1007
Pr Y Cd
12 4 2
Direct
0.0021 0.3317 0.0000 Pr
0.1625 0.1625 0.5000 Pr
0.1683 0.5021 0.5000 Pr
0.3317 0.0021 0.0000 Pr
0.3375 0.6625 0.0000 Pr
0.4979 0.8317 0.5000 Pr
0.5021 0.1683 0.5000 Pr
0.6625 0.3375 0.0000 Pr
0.6683 0.9979 0.0000 Pr
0.8317 0.4979 0.5000 Pr
0.8375 0.8375 0.5000 Pr
0.9979 0.6683 0.0000 Pr
0.1633 0.8367 0.5000 Y
0.3367 0.3367 0.0000 Y
0.6633 0.6633 0.0000 Y
0.8367 0.1633 0.5000 Y
0.0000 0.0000 0.0000 Cd
0.5000 0.5000 0.5000 Cd
```

## Properties
energy above the lowest structure with this stoichiometry = 0 meV per atom

This record from the Alexandria database describes a geometry-optimized Pr5Y4Cd structure. The functional is PBE-GGA.

```
Pr5Y4Cd
1.0
3.6771 0.0000 0.0000
0.0000 3.6771 0.0000
0.0000 0.0000 24.6742
Pr Y Cd
5 4 1
Direct
0.0000 0.0000 0.0000 Pr
0.0000 0.0000 0.2057 Pr
0.0000 0.0000 0.4131 Pr
0.0000 0.0000 0.5869 Pr
0.0000 0.0000 0.7943 Pr
0.5000 0.5000 0.1029 Y
0.5000 0.5000 0.3088 Y
0.5000 0.5000 0.6912 Y
0.5000 0.5000 0.8971 Y
0.5000 0.5000 0.5000 Cd
```

## Properties
total energy = -51.117 eV per formula unit

This record from the Alexandria database describes a geometry-optimized PrY2Cd4 structure. The functional is PBE-GGA.

```
PrY2Cd4
1.0
5.4226 0.0000 0.0000
0.0000 5.4226 0.0000
0.0000 0.0000 13.9085
Pr Y Cd
2 4 8
Direct
0.0000 0.0000 0.0000 Pr
0.5000 0.5000 0.5000 Pr
0.0000 0.0000 0.2619 Y
0.0000 0.0000 0.7381 Y
0.5000 0.5000 0.2381 Y
0.5000 0.5000 0.7619 Y
0.0000 0.5000 0.1197 Cd
0.0000 0.5000 0.3803 Cd
0.0000 0.5000 0.6197 Cd
0.0000 0.5000 0.8803 Cd
0.5000 0.0000 0.1197 Cd
0.5000 0.0000 0.3803 Cd
0.5000 0.0000 0.6197 Cd
0.5000 0.0000 0.8803 Cd
```

## Properties
total energy = -22.499 eV per formula unit

This record from the Alexandria database describes a geometry-optimized Pr12Y5Cd2 structure. The functional is PBE-GGA.

```
Pr12Y5Cd2
1.0
7.9150 -4.6445 0.0000
7.9150 4.6445 0.0000
-0.5324 0.0000 8.7284
Pr Y Cd
12 5 2
Direct
0.0574 0.0574 0.3332 Pr
0.0688 0.6775 0.3237 Pr
0.1668 0.5379 0.7653 Pr
0.3225 0.9312 0.6763 Pr
0.4195 0.4195 0.1163 Pr
0.4621 0.8332 0.2347 Pr
0.5379 0.1668 0.7653 Pr
0.5805 0.5805 0.8837 Pr
0.6775 0.0688 0.3237 Pr
0.8332 0.4621 0.2347 Pr
0.9312 0.3225 0.6763 Pr
0.9426 0.9426 0.6668 Pr
0.1961 0.1961 0.0219 Y
0.2673 0.2673 0.4253 Y
0.5000 0.5000 0.5000 Y
0.7327 0.7327 0.5747 Y
0.8039 0.8039 0.9781 Y
0.1665 0.8335 0.0000 Cd
0.8335 0.1665 0.0000 Cd
```

## Properties
total energy = -90.890 eV per formula unit

This record from the Alexandria database describes a geometry-optimized Pr2YCd3 structure. The functional is PBE-GGA.

```
Pr2YCd3
1.0
3.8196 0.0000 0.0000
0.0000 3.8196 0.0000
0.0000 0.0000 11.6498
Pr Y Cd
2 1 3
Direct
0.0000 0.0000 0.1712 Pr
0.0000 0.0000 0.8288 Pr
0.0000 0.0000 0.5000 Y
0.5000 0.5000 0.0000 Cd
0.5000 0.5000 0.3463 Cd
0.5000 0.5000 0.6537 Cd
```

## Properties
total energy = -20.712 eV per formula unit

This record from the Alexandria database describes a geometry-optimized PrY5Cd6 structure. The functional is PBE-GGA.

```
PrY5Cd6
1.0
2.6584 -8.0040 0.0000
2.6584 8.0040 0.0000
0.0000 0.0000 7.5855
Pr Y Cd
1 5 6
Direct
0.0000 0.0000 0.0000 Pr
0.0000 0.0000 0.5000 Y
0.3320 0.6680 0.0000 Y
0.3357 0.6643 0.5000 Y
0.6643 0.3357 0.5000 Y
0.6680 0.3320 0.0000 Y
0.1698 0.8302 0.2558 Cd
0.1698 0.8302 0.7442 Cd
0.5000 0.5000 0.2557 Cd
0.5000 0.5000 0.7443 Cd
0.8302 0.1698 0.2558 Cd
0.8302 0.1698 0.7442 Cd
```

## Properties
total energy = -46.706 eV per formula unit